[1]
Density functional theory data (PBE-GGA) for a geometry-optimized Li6CuNi structure.

Computed properties:
DFT total energy   -2.61 eV/atom
Theoretical density   2.33 Mg/m³
Formation energy   0.51 eV per formula unit
Polymorph energy (0 for the lowest one)   28 meV/atom

Geometry as CIF:
```
data_Li6CuNi
_symmetry_space_group_name_H-M 'P -1'
_symmetry_Int_Tables_number 2
_cell_length_a 4.884
_cell_length_b 4.886
_cell_length_c 4.888
_cell_angle_alpha 91.09
_cell_angle_beta 90.64
_cell_angle_gamma 91.32
loop_
_symmetry_equiv_pos_as_xyz
'x,y,z'
'-x,-y,-z'
loop_
_atom_site_label
_atom_site_type_symbol
_atom_site_fract_x
_atom_site_fract_y
_atom_site_fract_z
Li1 Li 0.001 0.001 0.247
Li2 Li 0.253 0.500 0.000
Li3 Li 0.499 0.753 0.499
Cu1 Cu 0.000 0.500 0.500
Ni1 Ni 0.500 0.000 0.000
```

***

[2]
Density functional theory data (PBE-GGA) for a geometry-optimized Sc5SbTe5 structure.

Computed properties:
Energy relative to the elements, uncorrected   -1.16 eV per atom
DFT total energy   -5.84 eV/atom
Theoretical density   5.42 Mg/m³

Geometry as CIF:
```
data_Sc5SbTe5
_symmetry_space_group_name_H-M 'C 1 2/m 1'
_symmetry_Int_Tables_number 12
_cell_length_a 13.061
_cell_length_b 5.894
_cell_length_c 8.261
_cell_angle_alpha 90.00
_cell_angle_beta 108.42
_cell_angle_gamma 90.00
loop_
_symmetry_equiv_pos_as_xyz
'x,y,z'
'-x,-y,-z'
'-x,y,-z'
'x,-y,z'
'x+1/2,y+1/2,z'
'-x+1/2,-y+1/2,-z'
'-x+1/2,y+1/2,-z'
'x+1/2,-y+1/2,z'
loop_
_atom_site_label
_atom_site_type_symbol
_atom_site_fract_x
_atom_site_fract_y
_atom_site_fract_z
Sc1 Sc 0.000 0.000 0.000
Sc2 Sc 0.163 0.500 0.332
Sc3 Sc 0.164 0.500 0.832
Sb1 Sb 0.000 0.500 0.000
Te1 Te 0.000 0.500 0.500
Te2 Te 0.165 0.000 0.336
Te3 Te 0.166 0.000 0.829
```

***

[3]
Density functional theory data (PBE-GGA) for a geometry-optimized Cr2NiHg structure.

Computed properties:
DFT total energy   -6.01 eV/atom
Theoretical density   10.17 Mg/m³
Formation energy   1.29 eV per formula unit

Geometry as CIF:
```
data_Cr2NiHg
_symmetry_space_group_name_H-M 'I -4 m 2'
_symmetry_Int_Tables_number 119
_symmetry_space_group_name_Hall 'I -4 -2'
_cell_length_a 3.944
_cell_length_b 3.944
_cell_length_c 7.628
_cell_angle_alpha 90.00
_cell_angle_beta 90.00
_cell_angle_gamma 90.00
loop_
_atom_site_label
_atom_site_type_symbol
_atom_site_fract_x
_atom_site_fract_y
_atom_site_fract_z
Cr1 Cr 0.000 0.000 0.000
Cr2 Cr 0.000 0.500 0.250
Ni1 Ni 0.000 0.000 0.500
Hg1 Hg 0.000 0.500 0.750
```

***

[4]
Density functional theory data (PBE-GGA) for a geometry-optimized Ba2SnW structure.

Computed properties:
DFT total energy   -4.48 eV/atom
Theoretical density   5.09 Mg/m³
Formation energy   2.87 eV per formula unit

Geometry as CIF:
```
data_Ba2SnW
_symmetry_space_group_name_H-M 'I -4 2 d'
_symmetry_Int_Tables_number 122
_symmetry_space_group_name_Hall 'I -4 2bw'
_cell_length_a 11.870
_cell_length_b 11.870
_cell_length_c 5.343
_cell_angle_alpha 90.00
_cell_angle_beta 90.00
_cell_angle_gamma 90.00
loop_
_atom_site_label
_atom_site_type_symbol
_atom_site_fract_x
_atom_site_fract_y
_atom_site_fract_z
Ba1 Ba 0.052 0.750 0.125
Sn1 Sn 0.000 0.000 0.500
W1 W 0.000 0.000 0.000
```

***

[5]
Density functional theory data (PBE-GGA) for a geometry-optimized Sn3HgSbAs structure.

Computed properties:
Energy relative to the elements, uncorrected   0.02 eV per atom
DFT total energy   -3.49 eV/atom
Theoretical density   7.50 Mg/m³

Geometry as CIF:
```
data_Sn3HgSbAs
_symmetry_space_group_name_H-M 'P 1 21/m 1'
_symmetry_Int_Tables_number 11
_cell_length_a 8.943
_cell_length_b 4.165
_cell_length_c 8.971
_cell_angle_alpha 90.00
_cell_angle_beta 93.30
_cell_angle_gamma 90.00
loop_
_symmetry_equiv_pos_as_xyz
'x,y,z'
'-x,-y,-z'
'-x,y+1/2,-z'
'x,-y+1/2,z'
loop_
_atom_site_label
_atom_site_type_symbol
_atom_site_fract_x
_atom_site_fract_y
_atom_site_fract_z
Sn1 Sn 0.114 0.250 0.346
Sn2 Sn 0.130 0.250 0.989
Sn3 Sn 0.346 0.750 0.665
Hg1 Hg 0.379 0.750 0.340
Sb1 Sb 0.370 0.750 0.009
As1 As 0.118 0.250 0.664
```

***

[6]
Density functional theory data (PBE-GGA) for a geometry-optimized TmVIn structure.

Computed properties:
DFT total energy   -5.46 eV/atom
Theoretical density   8.51 Mg/m³
Formation energy   -0.05 eV per formula unit

Geometry as CIF:
```
data_TmVIn
_symmetry_space_group_name_H-M 'C m c m'
_symmetry_Int_Tables_number 63
_symmetry_space_group_name_Hall '-C 2c 2'
_cell_length_a 3.277
_cell_length_b 24.462
_cell_length_c 3.259
_cell_angle_alpha 90.00
_cell_angle_beta 90.00
_cell_angle_gamma 90.00
loop_
_atom_site_label
_atom_site_type_symbol
_atom_site_fract_x
_atom_site_fract_y
_atom_site_fract_z
Tm1 Tm 0.000 0.062 0.250
V1 V 0.000 0.228 0.250
In1 In 0.000 0.346 0.250
```

***

[7]
Density functional theory data (PBE-GGA) for a geometry-optimized Nb2CrW structure.

Computed properties:
DFT total energy   -10.65 eV/atom
Theoretical density   10.85 Mg/m³
Formation energy   0.11 eV per formula unit
Polymorph energy (0 for the lowest one)   15 meV/atom

Geometry as CIF:
```
data_Nb2CrW
_symmetry_space_group_name_H-M 'F m -3 m'
_symmetry_Int_Tables_number 225
_symmetry_space_group_name_Hall '-F 4 2 3'
_cell_length_a 6.367
_cell_length_b 6.367
_cell_length_c 6.367
_cell_angle_alpha 90.00
_cell_angle_beta 90.00
_cell_angle_gamma 90.00
loop_
_atom_site_label
_atom_site_type_symbol
_atom_site_fract_x
_atom_site_fract_y
_atom_site_fract_z
Nb1 Nb 0.250 0.250 0.250
Cr1 Cr 0.000 0.000 0.000
W1 W 0.000 0.000 0.500
```

***

[8]
Density functional theory data (PBE-GGA) for a geometry-optimized BaBe2Pb structure.

Computed properties:
DFT total energy   -2.73 eV/atom
Theoretical density   6.16 Mg/m³
Formation energy   2.15 eV per formula unit

Geometry as CIF:
```
data_BaBe2Pb
_symmetry_space_group_name_H-M 'P 4/m m m'
_symmetry_Int_Tables_number 123
_symmetry_space_group_name_Hall '-P 4 2'
_cell_length_a 3.695
_cell_length_b 3.695
_cell_length_c 7.164
_cell_angle_alpha 90.00
_cell_angle_beta 90.00
_cell_angle_gamma 90.00
loop_
_atom_site_label
_atom_site_type_symbol
_atom_site_fract_x
_atom_site_fract_y
_atom_site_fract_z
Ba1 Ba 0.000 0.000 0.000
Be1 Be 0.500 0.500 0.340
Pb1 Pb 0.000 0.000 0.500
```

***

[9]
Density functional theory data (PBE-GGA) for a geometry-optimized CrMoBr2 structure.

Computed properties:
Energy relative to the elements, uncorrected   0.18 eV per atom
DFT total energy   -5.77 eV/atom
Theoretical density   5.03 Mg/m³
Polymorph energy (0 for the lowest one)   152 meV/atom

Geometry as CIF:
```
data_CrMoBr2
_symmetry_space_group_name_H-M 'C 1 2/m 1'
_symmetry_Int_Tables_number 12
_cell_length_a 15.051
_cell_length_b 3.275
_cell_length_c 4.151
_cell_angle_alpha 90.00
_cell_angle_beta 96.36
_cell_angle_gamma 90.00
loop_
_symmetry_equiv_pos_as_xyz
'x,y,z'
'-x,-y,-z'
'-x,y,-z'
'x,-y,z'
'x+1/2,y+1/2,z'
'-x+1/2,-y+1/2,-z'
'-x+1/2,y+1/2,-z'
'x+1/2,-y+1/2,z'
loop_
_atom_site_label
_atom_site_type_symbol
_atom_site_fract_x
_atom_site_fract_y
_atom_site_fract_z
Cr1 Cr 0.000 0.000 0.000
Mo1 Mo 0.000 0.500 0.500
Br1 Br 0.135 0.000 0.698
```

***

[10]
Density functional theory data (PBE-GGA) for a geometry-optimized La4GeOsI2 structure.

Computed properties:
Energy relative to the elements, uncorrected   -0.90 eV per atom
DFT total energy   -5.73 eV/atom
Theoretical density   6.62 Mg/m³

Geometry as CIF:
```
data_La4GeOsI2
_symmetry_space_group_name_H-M 'P 1 2/m 1'
_symmetry_Int_Tables_number 10
_cell_length_a 7.674
_cell_length_b 4.348
_cell_length_c 8.421
_cell_angle_alpha 90.00
_cell_angle_beta 106.73
_cell_angle_gamma 90.00
loop_
_symmetry_equiv_pos_as_xyz
'x,y,z'
'-x,-y,-z'
'-x,y,-z'
'x,-y,z'
loop_
_atom_site_label
_atom_site_type_symbol
_atom_site_fract_x
_atom_site_fract_y
_atom_site_fract_z
La1 La 0.220 0.000 0.191
La2 La 0.243 0.500 0.814
Ge1 Ge 0.500 0.000 0.000
Os1 Os 0.000 0.500 0.000
I1 I 0.000 0.000 0.500
I2 I 0.500 0.500 0.500
```

***

[11]
Density functional theory data (PBE-GGA) for a geometry-optimized VCu2Re structure.

Computed properties:
DFT total energy   -6.88 eV/atom
Theoretical density   10.67 Mg/m³
Formation energy   2.24 eV per formula unit
Polymorph energy (0 for the lowest one)   137 meV/atom

Geometry as CIF:
```
data_VCu2Re
_symmetry_space_group_name_H-M 'I -4 2 d'
_symmetry_Int_Tables_number 122
_symmetry_space_group_name_Hall 'I -4 2bw'
_cell_length_a 3.486
_cell_length_b 3.486
_cell_length_c 18.656
_cell_angle_alpha 90.00
_cell_angle_beta 90.00
_cell_angle_gamma 90.00
loop_
_atom_site_label
_atom_site_type_symbol
_atom_site_fract_x
_atom_site_fract_y
_atom_site_fract_z
V1 V 0.000 0.000 0.000
Cu1 Cu 0.247 0.250 0.625
Re1 Re 0.000 0.000 0.500
```

***

[12]
Density functional theory data (PBE-GGA) for a geometry-optimized Tb3Pr2HoEr6 structure.

Computed properties:
DFT total energy   -4.60 eV/atom
Theoretical density   8.42 Mg/m³
Formation energy   0.23 eV per formula unit

Geometry as CIF:
```
data_Tb3Pr2HoEr6
_symmetry_space_group_name_H-M 'C 1 2/m 1'
_symmetry_Int_Tables_number 12
_cell_length_a 6.164
_cell_length_b 10.669
_cell_length_c 11.743
_cell_angle_alpha 90.00
_cell_angle_beta 100.03
_cell_angle_gamma 90.00
loop_
_symmetry_equiv_pos_as_xyz
'x,y,z'
'-x,-y,-z'
'-x,y,-z'
'x,-y,z'
'x+1/2,y+1/2,z'
'-x+1/2,-y+1/2,-z'
'-x+1/2,y+1/2,-z'
'x+1/2,-y+1/2,z'
loop_
_atom_site_label
_atom_site_type_symbol
_atom_site_fract_x
_atom_site_fract_y
_atom_site_fract_z
Tb1 Tb 0.000 0.000 0.000
Tb2 Tb 0.000 0.333 0.000
Pr1 Pr 0.000 0.167 0.500
Ho1 Ho 0.000 0.500 0.500
Er1 Er 0.248 0.500 0.247
Er2 Er 0.249 0.166 0.248
```